1.
{
  "formula": "ZrAgP2",
  "functional": "PBE-GGA",
  "state": "relaxed",
  "lattice": [[6.533, 0.000, 0.000], [0.000, 6.533, 0.000], [0.000, 0.000, 6.533]],
  "species": ["Zr", "Zr", "Zr", "Zr", "Ag", "Ag", "Ag", "Ag", "P", "P", "P", "P", "P", "P", "P", "P"],
  "fractional_positions": [[0.000, 0.000, 0.000], [0.000, 0.500, 0.500], [0.500, 0.000, 0.500], [0.500, 0.500, 0.000], [0.250, 0.250, 0.750], [0.250, 0.750, 0.250], [0.750, 0.250, 0.250], [0.750, 0.750, 0.750], [0.000, 0.000, 0.500], [0.000, 0.500, 0.000], [0.250, 0.250, 0.250], [0.250, 0.750, 0.750], [0.500, 0.000, 0.000], [0.500, 0.500, 0.500], [0.750, 0.250, 0.750], [0.750, 0.750, 0.250]],
  "ef_ev_per_atom": 0.130
}

---

2.
{
  "formula": "LaPmDy4",
  "functional": "PBE-GGA",
  "state": "relaxed",
  "lattice": [[5.756, 0.000, 0.000], [0.000, 7.063, 0.000], [-0.061, 0.000, 9.715]],
  "species": ["La", "La", "Pm", "Pm", "Dy", "Dy", "Dy", "Dy", "Dy", "Dy", "Dy", "Dy"],
  "fractional_positions": [[0.217, 0.250, 0.419], [0.783, 0.750, 0.581], [0.222, 0.750, 0.082], [0.778, 0.250, 0.918], [0.252, 0.002, 0.755], [0.252, 0.498, 0.755], [0.277, 0.250, 0.081], [0.278, 0.750, 0.416], [0.722, 0.250, 0.584], [0.723, 0.750, 0.919], [0.748, 0.502, 0.245], [0.748, 0.998, 0.245]],
  "ef_ev_per_atom": 0.065
}

---

Computed ΔE to the lowest computed polymorph (kJ per mole of atoms) in order:
57.10; 3.88